Computed, not measured: a relaxed structure of GaNi2WO at the GGA+U level of DFT.

Output
- DOS(E_F): 1.35 states/eV/cell
- Crystal system: tetragonal
- DFT total energy: -3.253 eV per atom
- Total magnetic moment: 0.00 μB per cell

abc: 4.7327 3.7975 4.7327
angles: 90.00 90.00 90.00
Closest atoms and distances in Å follow each position.
Positions (direct):
1 W 0.0000 0.0000 0.0000  2 O 1.90
2 Ni 0.5000 0.0000 0.0000  2 W 2.37
3 Ni 0.0000 0.0000 0.5000  2 W 2.37
4 O 0.0000 0.5000 0.0000  2 W 1.90
5 Ga 0.5000 0.5000 0.5000  8 Ni 3.03, 4 O 3.35